Record 1
TaAlTcRu | PBE | relaxed

abc: 4.398 4.398 4.398
angles: 60.00 60.00 60.00
Fractional coordinates of all 4 atoms:
Ru 0.750 0.750 0.750
Al 0.500 0.500 0.500
Tc 0.250 0.250 0.250
Ta 0.000 0.000 0.000

space-group type	No. 216
E_tot	-37.49	eV per cell
density of states at the Fermi level	0.61	states/eV/atom
energy of formation from the pure elements	-2.253	eV per formula unit
relative energy among the computed polymorphs	0	meV per atom

---

Record 2
LiLaCu2 | PBE | relaxed

abc: 4.364 4.364 5.461
angles: 66.52 66.52 59.82
Fractional coordinates of all 4 atoms:
Li 0.250 0.250 0.250
Cu 0.952 0.952 0.145
Cu 0.548 0.548 0.355
La 0.750 0.750 0.750

space-group type	No. 12
E_tot	-15.51	eV per cell
density of states at the Fermi level	0.73	states/eV/atom
energy of formation from the pure elements	-0.480	eV per formula unit

---

Record 3
PrTcGe2 | PBE | relaxed

abc: 3.253 3.253 7.175
angles: 90.00 90.00 90.00
Fractional coordinates of all 4 atoms:
Pr 0.500 0.500 0.500
Ge 0.000 0.000 0.807
Ge 0.000 0.000 0.193
Tc 0.500 0.500 0.000

space-group type	No. 123
E_tot	-25.64	eV per cell
density of states at the Fermi level	0.74	states/eV/atom
energy of formation from the pure elements	-1.257	eV per formula unit
relative energy among the computed polymorphs	210	meV per atom

---

Record 4
LaSc2Cu | PBE | relaxed

abc: 5.145 5.145 9.888
angles: 74.92 74.92 90.00
Fractional coordinates of all 8 atoms:
Sc 0.375 0.125 0.250
Sc 0.375 0.625 0.250
Sc 0.375 0.625 0.750
Sc 0.875 0.625 0.750
Cu 0.500 0.500 0.000
Cu 0.250 0.750 0.500
La 0.000 0.000 0.000
La 0.750 0.250 0.500

space-group type	No. 141
E_tot	-37.96	eV per cell
density of states at the Fermi level	2.44	states/eV/atom
energy of formation from the pure elements	2.706	eV per formula unit
relative energy among the computed polymorphs	755	meV per atom

---

Record 5
AcGe2Te4 | PBE | relaxed

abc: 6.886 6.886 6.886
angles: 104.56 104.56 119.81
Fractional coordinates of all 7 atoms:
Ac 0.500 0.500 0.000
Ge 0.250 0.750 0.500
Ge 0.750 0.250 0.500
Te 0.290 0.162 0.452
Te 0.838 0.290 0.129
Te 0.162 0.710 0.871
Te 0.710 0.838 0.548

uncorrected formation energy	-2.7	eV per formula unit
space-group type	No. 87
E_tot	-28.65	eV per cell
density of states at the Fermi level	0.43	states/eV/atom

---

Record 6
LiSmHoIn | PBE | relaxed

abc: 5.316 5.316 5.316
angles: 60.00 60.00 60.00
Fractional coordinates of all 4 atoms:
Li 0.000 0.000 0.000
Ho 0.750 0.750 0.750
Sm 0.250 0.250 0.250
In 0.500 0.500 0.500

space-group type	No. 216
E_tot	-15.00	eV per cell
density of states at the Fermi level	0.98	states/eV/atom
energy of formation from the pure elements	-1.051	eV per formula unit